Record 1
Entry from the Alexandria database: Rb2MgCd3Bi4 after structural relaxation (PBE).

Values from the calculation:
Total magnetic moment (μB/f.u.): 0.0
Total DFT energy (no corrections) (Ry/atom): -0.1788

Unit cell a=5.290 b=5.290 c=12.248 alpha=90.00 beta=90.00 gamma=90.00
Fractional positions:
Rb 0.500 0.000 0.247
Rb 0.000 0.500 0.753
Mg 0.500 0.500 0.500
Cd 0.000 0.000 0.500
Cd 0.500 0.000 0.870
Cd 0.000 0.500 0.130
Bi 0.500 0.500 0.000
Bi 0.000 0.000 0.000
Bi 0.500 0.000 0.626
Bi 0.000 0.500 0.374

Record 2
Entry from the Alexandria database: Mg5CdBi2Rh2 after structural relaxation (PBE).

Values from the calculation:
Total magnetic moment (μB/f.u.): 0.0
Total DFT energy (no corrections) (Ry/atom): -0.2460

Unit cell a=3.557 b=10.976 c=10.976 alpha=90.00 beta=90.00 gamma=90.00
Fractional positions:
Mg 0.500 0.212 0.062
Mg 0.500 0.788 0.938
Mg 0.500 0.062 0.788
Mg 0.500 0.712 0.438
Mg 0.500 0.938 0.212
Mg 0.500 0.288 0.562
Mg 0.500 0.562 0.712
Mg 0.500 0.438 0.288
Mg 0.500 0.500 0.000
Mg 0.500 0.000 0.500
Cd 0.000 0.000 0.000
Cd 0.000 0.500 0.500
Bi 0.000 0.676 0.176
Bi 0.000 0.324 0.824
Bi 0.000 0.176 0.324
Bi 0.000 0.824 0.676
Rh 0.000 0.125 0.625
Rh 0.000 0.875 0.375
Rh 0.000 0.625 0.875
Rh 0.000 0.375 0.125

Record 3
Entry from the Alexandria database: MgCdBi2Rh after structural relaxation (PBE).

Values from the calculation:
Total magnetic moment (μB/f.u.): 0.0
Total DFT energy (no corrections) (Ry/atom): -0.2024

Unit cell a=5.536 b=5.046 c=5.536 alpha=90.00 beta=90.00 gamma=90.00
Fractional positions:
Mg 0.500 0.500 0.500
Rh 0.000 0.500 0.000
Bi 0.000 0.000 0.500
Bi 0.500 0.000 0.000
Cd 0.000 0.000 0.000

Record 4
Entry from the Alexandria database: MgCdBiSb after structural relaxation (PBE).

Values from the calculation:
Total magnetic moment (μB/f.u.): 0.0
Total DFT energy (no corrections) (Ry/atom): -0.1893

Unit cell a=5.296 b=5.296 c=5.296 alpha=60.00 beta=60.00 gamma=60.00
Fractional positions:
Sb 0.000 0.000 0.000
Mg 0.250 0.250 0.250
Bi 0.500 0.500 0.500
Cd 0.750 0.750 0.750

Record 5
Entry from the Alexandria database: Mg2ScCdBi after structural relaxation (PBE).

Values from the calculation:
Total magnetic moment (μB/f.u.): 0.0
Total DFT energy (no corrections) (Ry/atom): -0.1791

Unit cell a=5.061 b=5.903 c=5.061 alpha=90.00 beta=90.00 gamma=90.00
Fractional positions:
Sc 0.500 0.500 0.500
Mg 0.000 0.000 0.500
Mg 0.500 0.000 0.000
Bi 0.000 0.500 0.000
Cd 0.000 0.000 0.000

Record 6
Entry from the Alexandria database: SrMgCdBi2 after structural relaxation (PBE).

Values from the calculation:
Total magnetic moment (μB/f.u.): 0.0
Total DFT energy (no corrections) (Ry/atom): -0.2005

Unit cell a=6.642 b=6.395 c=8.423 alpha=112.31 beta=90.00 gamma=90.00
Fractional positions:
Sr 0.227 0.750 0.500
Sr 0.773 0.250 0.500
Mg 0.500 0.750 0.000
Mg 0.500 0.250 0.000
Cd 0.000 0.000 0.000
Cd 0.000 0.500 0.000
Bi 0.722 0.863 0.726
Bi 0.722 0.637 0.274
Bi 0.278 0.363 0.726
Bi 0.278 0.137 0.274

Record 7
Entry from the Alexandria database: SrMgCdBi after structural relaxation (PBE).

Values from the calculation:
Total magnetic moment (μB/f.u.): 0.0
Total DFT energy (no corrections) (Ry/atom): -0.1725

Unit cell a=5.556 b=5.556 c=5.556 alpha=60.00 beta=60.00 gamma=60.00
Fractional positions:
Sr 0.500 0.500 0.500
Mg 0.000 0.000 0.000
Bi 0.750 0.750 0.750
Cd 0.250 0.250 0.250

Record 8
Entry from the Alexandria database: TbMgCdBi after structural relaxation (PBE).

Values from the calculation:
Total magnetic moment (μB/f.u.): 0.0
Total DFT energy (no corrections) (Ry/atom): -0.2201

Unit cell a=5.328 b=5.328 c=5.328 alpha=60.00 beta=60.00 gamma=60.00
Fractional positions:
Mg 0.000 0.000 0.000
Tb 0.500 0.500 0.500
Bi 0.250 0.250 0.250
Cd 0.750 0.750 0.750

Record 9
Entry from the Alexandria database: MgTl2Cd3Bi4 after structural relaxation (PBE).

Values from the calculation:
Total magnetic moment (μB/f.u.): 0.0
Total DFT energy (no corrections) (Ry/atom): -0.1824

Unit cell a=5.194 b=5.194 c=12.110 alpha=90.00 beta=90.00 gamma=90.00
Fractional positions:
Mg 0.500 0.500 0.500
Tl 0.500 0.000 0.230
Tl 0.000 0.500 0.770
Cd 0.000 0.000 0.500
Cd 0.500 0.000 0.864
Cd 0.000 0.500 0.136
Bi 0.500 0.500 0.000
Bi 0.000 0.000 0.000
Bi 0.500 0.000 0.626
Bi 0.000 0.500 0.374

Record 10
Entry from the Alexandria database: MgTl2CdBi2 after structural relaxation (PBE).

Values from the calculation:
Total magnetic moment (μB/f.u.): 0.0
Total DFT energy (no corrections) (Ry/atom): -0.1873

Unit cell a=4.602 b=7.259 c=10.625 alpha=90.00 beta=90.00 gamma=90.00
Fractional positions:
Mg 0.000 0.915 0.491
Mg 0.000 0.415 0.509
Tl 0.500 0.116 0.005
Tl 0.000 0.367 0.166
Tl 0.500 0.616 0.995
Tl 0.000 0.867 0.834
Cd 0.500 0.127 0.659
Cd 0.500 0.627 0.341
Bi 0.000 0.327 0.791
Bi 0.500 0.194 0.369
Bi 0.000 0.827 0.209
Bi 0.500 0.694 0.631

Record 11
Entry from the Alexandria database: TmMgCdBi after structural relaxation (PBE).

Values from the calculation:
Total magnetic moment (μB/f.u.): 0.0
Total DFT energy (no corrections) (Ry/atom): -0.2143

Unit cell a=5.300 b=5.300 c=5.300 alpha=60.00 beta=60.00 gamma=60.00
Fractional positions:
Mg 0.500 0.500 0.500
Tm 0.000 0.000 0.000
Bi 0.750 0.750 0.750
Cd 0.250 0.250 0.250

Record 12
Entry from the Alexandria database: Mn2CdBi2 after structural relaxation (PBE).

Values from the calculation:
Total magnetic moment (μB/f.u.): 6.9
Relative energy among the computed polymorphs (meV per atom): 231
Total DFT energy (no corrections) (Ry/atom): -0.3599

Unit cell a=5.549 b=5.549 c=5.676 alpha=60.74 beta=60.74 gamma=90.00
Fractional positions:
Mn 0.336 0.336 0.328
Mn 0.664 0.664 0.672
Bi 0.750 0.250 0.500
Bi 0.250 0.750 0.500
Cd 0.000 0.000 0.000